Entry 1:
First-principles (GGA-PBE) data for EuGdSe after structural relaxation, as listed in the Alexandria database.

Calculated values
**Raw formation energy**: -1162 meV/atom
**DOS(E_F)**: 7.2 states/eV/cell
**V**: 31.7 Å³/atom
**Electronic total energy**: -31.327 eV/cell
**Magnetization**: 15.37 μB per cell

Unit cell a=4.030 b=4.030 c=6.771 alpha=90.00 beta=90.00 gamma=120.00
Site moments in Bohr magnetons follow the coordinates.
Atoms (fractional coordinates):
Se 0.667 0.333 0.342  0.04
Eu 0.000 0.000 0.057  -6.97
Gd 0.333 0.667 0.601  -7.29

***

Entry 2:
First-principles (GGA-PBE) data for EuGdSi4 after structural relaxation, as listed in the Alexandria database.

Calculated values
**Raw formation energy**: -325 meV/atom
**DOS(E_F)**: 4.9 states/eV/cell
**V**: 18.4 Å³/atom
**Electronic total energy**: -47.998 eV/cell
**Magnetization**: 0.04 μB per cell

Unit cell a=5.388 b=5.388 c=5.388 alpha=60.00 beta=60.00 gamma=60.00
Site moments in Bohr magnetons follow the coordinates.
Atoms (fractional coordinates):
Gd 0.250 0.250 0.250  -6.92
Si 0.131 0.623 0.623  0.00
Si 0.623 0.131 0.623  0.00
Si 0.623 0.623 0.131  0.00
Si 0.623 0.623 0.623  0.00
Eu 0.000 0.000 0.000  6.74

***

Entry 3:
First-principles (GGA-PBE) data for EuGdSi after structural relaxation, as listed in the Alexandria database.

Calculated values
**Raw formation energy**: -375 meV/atom
**DOS(E_F)**: 5.3 states/eV/cell
**V**: 29.6 Å³/atom
**Electronic total energy**: -30.903 eV/cell
**Magnetization**: 0.09 μB per cell

Unit cell a=5.009 b=5.009 c=5.009 alpha=60.00 beta=60.00 gamma=60.00
Site moments in Bohr magnetons follow the coordinates.
Atoms (fractional coordinates):
Gd 0.000 0.000 0.000  -7.00
Si 0.250 0.250 0.250  -0.01
Eu 0.500 0.500 0.500  6.81

***

Entry 4:
First-principles (GGA-PBE) data for SmEuGd4 after structural relaxation, as listed in the Alexandria database.

Calculated values
**DOS(E_F)**: 18.0 states/eV/cell
**V**: 53.3 Å³/atom
**Electronic total energy**: -64.067 eV/cell
**Magnetization**: 24.06 μB per cell

Unit cell a=7.674 b=7.674 c=7.674 alpha=60.00 beta=60.00 gamma=60.00
Site moments in Bohr magnetons follow the coordinates.
Atoms (fractional coordinates):
Gd 0.388 0.388 0.835  -7.28
Gd 0.388 0.835 0.388  -7.28
Gd 0.835 0.388 0.388  -7.28
Gd 0.388 0.388 0.388  -7.28
Sm 0.250 0.250 0.250  0.21
Eu 0.000 0.000 0.000  6.93

***

Entry 5:
First-principles (GGA-PBE) data for SmEuGd2 after structural relaxation, as listed in the Alexandria database.

Calculated values
**E above lowest polymorph**: 0 kJ/mol of formula units
**DOS(E_F)**: 7.1 states/eV/cell
**V**: 34.4 Å³/atom
**Electronic total energy**: -42.687 eV/cell
**Magnetization**: 22.76 μB per cell

Unit cell a=3.817 b=6.005 c=6.005 alpha=90.00 beta=90.00 gamma=90.00
Site moments in Bohr magnetons follow the coordinates.
Atoms (fractional coordinates):
Gd 0.000 0.500 0.000  7.29
Gd 0.000 0.000 0.500  7.29
Eu 0.500 0.500 0.500  6.94
Sm 0.500 0.000 0.000  0.06

***

Entry 6:
First-principles (GGA-PBE) data for SmEuGd2 after structural relaxation, as listed in the Alexandria database.

Calculated values
**E above lowest polymorph**: 4 kJ/mol of formula units
**DOS(E_F)**: 6.7 states/eV/cell
**V**: 34.2 Å³/atom
**Electronic total energy**: -42.644 eV/cell
**Magnetization**: 8.26 μB per cell

Unit cell a=5.786 b=5.786 c=5.786 alpha=60.00 beta=60.00 gamma=60.00
Site moments in Bohr magnetons follow the coordinates.
Atoms (fractional coordinates):
Eu 0.000 0.000 0.000  6.80
Sm 0.500 0.500 0.500  -0.19
Gd 0.750 0.750 0.750  -7.20
Gd 0.250 0.250 0.250  -7.20